The following is a DFT calculation (SCAN) of LiAlNi2 at its PBEsol-relaxed geometry.

Cell lengths 2.7188, 4.0586, 4.0586 Å; angles 95.83, 90.00, 90.00 degrees
With the nearest neighbours (Å) after each atom.
Positions (direct):
Ni: 0.0000 0.0000 0.5000  4 Li 2.44, 4 Al 2.44, 4 Ni 2.72
Ni: 0.0000 0.5000 0.0000  4 Al 2.44, 4 Li 2.44, 4 Ni 2.72
Al: 0.5000 0.0000 0.0000  8 Ni 2.44, 2 Al 2.72, 2 Li 2.72
Li: 0.5000 0.5000 0.5000  8 Ni 2.44, 2 Li 2.72, 2 Al 2.72

Values from the calculation:
ΔH_f (0 K) = -0.398 eV/atom
Total moment = 0.000 Bohr magnetons per cell
DFT total energy = -11.020 eV per atom
Symmetry = Cmmm



The following is a DFT calculation (SCAN) of VBr3 at its PBEsol-relaxed geometry.

Cell lengths 3.3165, 9.6112, 9.6112 Å; angles 120.00, 90.00, 90.00 degrees
With the nearest neighbours (Å) after each atom.
Positions (direct):
Br: 0.7500 0.4379 0.2190  2 V 2.52
Br: 0.2500 0.2190 0.4379  2 V 2.52
Br: 0.7500 0.7810 0.5621  2 V 2.52
Br: 0.7500 0.7810 0.2190  2 V 2.52
Br: 0.2500 0.5621 0.7810  2 V 2.52
Br: 0.2500 0.2190 0.7810  2 V 2.52
V: 0.7500 0.3333 0.6667  6 Br 2.52
V: 0.2500 0.6667 0.3333  6 Br 2.52

Values from the calculation:
Uncorrected formation energy = -0.92 eV per atom
Total moment = 4.000 Bohr magnetons per cell
DFT total energy = -19.890 eV per atom
Symmetry = P6_3/mmc



The following is a DFT calculation (SCAN) of NiPPdO2 at its PBEsol-relaxed geometry.

Cell lengths 3.4995, 3.4995, 5.0879 Å; angles 90.00, 90.00, 90.00 degrees
With the nearest neighbours (Å) after each atom.
Positions (direct):
Pd: 0.5000 0.5000 0.5000  4 P 2.47
O: 0.5000 0.0000 0.0000  2 Ni 1.75
O: 0.0000 0.5000 0.0000  2 Ni 1.75
P: 0.0000 0.0000 0.5000  4 Pd 2.47, 2 Ni 2.54
Ni: 0.0000 0.0000 0.0000  4 O 1.75

Values from the calculation:
Uncorrected formation energy = -0.05 eV per atom
Total moment = 1.546 Bohr magnetons per cell
DFT total energy = -14.411 eV per atom
Symmetry = P4/mmm